(1)
The following is a DFT calculation (GGA-PBE) of crystalline NdY2HoSc4 at its relaxed geometry.

a = 9.1082 Å, b = 9.1082 Å, c = 11.3281 Å
α = 128.45°, β = 128.45°, γ = 88.14°
Each line ends with the local moment (μB).
Sites, in units of the cell vectors:
Nd  0.0000  0.5000  0.0000  0.28
Nd  0.0000  0.5000  0.5000  0.28
Y  0.5000  0.0000  0.0000  0.21
Y  0.5000  0.0000  0.5000  0.21
Y  0.0000  0.0000  0.5000  0.27
Y  0.5000  0.5000  0.0000  0.27
Ho  0.5000  0.5000  0.5000  0.32
Ho  0.0000  0.0000  0.0000  0.32
Sc  0.2475  0.7502  0.9989  0.36
Sc  0.7498  0.2525  0.5011  0.36
Sc  0.2502  0.7475  0.4989  0.36
Sc  0.7525  0.2498  0.0011  0.36
Sc  0.7507  0.7485  0.9967  0.37
Sc  0.7515  0.7493  0.5033  0.37
Sc  0.2485  0.2507  0.4967  0.37
Sc  0.2493  0.2515  0.0033  0.37

Uncorrected energy   -88.2 eV/cell
Energy of formation from the pure elements   338 kJ/mol of formula units

(2)
The following is a DFT calculation (GGA-PBE) of crystalline NdY6Ho3Sc2 at its relaxed geometry.

a = 6.0906 Å, b = 6.0906 Å, c = 11.6696 Å
α = 94.97°, β = 94.97°, γ = 119.95°
Sites, in units of the cell vectors:
Nd  0.0000  0.0000  0.0000
Y  0.9171  0.5811  0.7529
Y  0.7465  0.7465  0.2470
Y  0.0829  0.4189  0.2471
Y  0.5811  0.9171  0.7529
Y  0.2535  0.2535  0.7530
Y  0.4189  0.0829  0.2471
Ho  0.1672  0.8328  0.5000
Ho  0.8328  0.1672  0.5000
Ho  0.5000  0.5000  0.5000
Sc  0.3333  0.6667  0.0000
Sc  0.6667  0.3333  0.0000

Uncorrected energy   -69.4 eV/cell
Energy of formation from the pure elements   50 kJ/mol of formula units

(3)
The following is a DFT calculation (GGA-PBE) of crystalline NdY4Ho2Sc at its relaxed geometry.

a = 3.5485 Å, b = 6.1147 Å, c = 11.7168 Å
α = 79.89°, β = 90.00°, γ = 90.00°
Sites, in units of the cell vectors:
Nd  0.0000  0.5000  0.5000
Y  0.0000  0.7460  0.7569
Y  0.0000  0.2540  0.2431
Y  0.5000  0.7509  0.2452
Y  0.5000  0.2491  0.7548
Ho  0.0000  0.0000  0.0000
Ho  0.5000  0.0000  0.5000
Sc  0.5000  0.5000  0.0000

Uncorrected energy   -45.8 eV/cell
Energy of formation from the pure elements   30 kJ/mol of formula units

(4)
The following is a DFT calculation (GGA-PBE) of crystalline NdY6Ho2Sc at its relaxed geometry.

a = 8.7509 Å, b = 9.1343 Å, c = 9.1343 Å
α = 118.91°, β = 90.99°, γ = 90.99°
Sites, in units of the cell vectors:
Nd  0.2500  0.9672  0.0328
Nd  0.7500  0.0328  0.9672
Y  0.0520  0.1324  0.7912
Y  0.4480  0.2088  0.8676
Y  0.9480  0.8676  0.2088
Y  0.5520  0.7912  0.1324
Y  0.2937  0.0462  0.4596
Y  0.2063  0.5404  0.9538
Y  0.7063  0.9538  0.5404
Y  0.7937  0.4596  0.0462
Y  0.0911  0.7338  0.4757
Y  0.4089  0.5243  0.2662
Y  0.9089  0.2662  0.5243
Y  0.5911  0.4757  0.7338
Ho  0.4422  0.7887  0.6783
Ho  0.0578  0.3217  0.2113
Ho  0.5578  0.2113  0.3217
Ho  0.9422  0.6783  0.7887
Sc  0.2500  0.4433  0.5567
Sc  0.7500  0.5567  0.4433

Uncorrected energy   -115.7 eV/cell
Energy of formation from the pure elements   115 kJ/mol of formula units

(5)
The following is a DFT calculation (GGA-PBE) of crystalline NdY2Ho6Sc3 at its relaxed geometry.

a = 6.0459 Å, b = 6.0459 Å, c = 11.4870 Å
α = 95.03°, β = 95.03°, γ = 119.97°
Sites, in units of the cell vectors:
Nd  0.0000  0.0000  0.0000
Y  0.3334  0.6666  0.0000
Y  0.6666  0.3334  0.0000
Ho  0.9126  0.5795  0.7389
Ho  0.7542  0.7542  0.2611
Ho  0.0874  0.4205  0.2611
Ho  0.5795  0.9126  0.7389
Ho  0.2458  0.2458  0.7389
Ho  0.4205  0.0874  0.2611
Sc  0.1670  0.8330  0.5000
Sc  0.8330  0.1670  0.5000
Sc  0.5000  0.5000  0.5000

Uncorrected energy   -63.6 eV/cell
Energy of formation from the pure elements   54 kJ/mol of formula units

(6)
The following is a DFT calculation (GGA-PBE) of crystalline Nd2YHo2Sc2 at its relaxed geometry.

a = 3.4139 Å, b = 9.0036 Å, c = 8.3525 Å
α = 119.09°, β = 90.00°, γ = 100.93°
Sites, in units of the cell vectors:
Nd  0.6492  0.2984  0.9111
Nd  0.3508  0.7016  0.0889
Y  0.0000  0.0000  0.5000
Ho  0.4259  0.8519  0.7606
Ho  0.5741  0.1481  0.2394
Sc  0.7876  0.5751  0.3805
Sc  0.2124  0.4249  0.6195

Uncorrected energy   -36.6 eV/cell
Energy of formation from the pure elements   115 kJ/mol of formula units

(7)
The following is a DFT calculation (GGA-PBE) of crystalline NdY3HoSc at its relaxed geometry.

a = 4.9779 Å, b = 7.8996 Å, c = 10.0226 Å
α = 90.00°, β = 90.00°, γ = 108.37°
Sites, in units of the cell vectors:
Nd  0.4969  0.9938  0.7500
Nd  0.5031  0.0062  0.2500
Y  0.6670  0.3339  0.4991
Y  0.3330  0.6661  0.5009
Y  0.3330  0.6661  0.9991
Y  0.6670  0.3339  0.0009
Y  0.1693  0.3386  0.7500
Y  0.8307  0.6614  0.2500
Ho  0.0000  0.0000  0.5000
Ho  0.0000  0.0000  0.0000
Sc  0.8326  0.6652  0.7500
Sc  0.1674  0.3348  0.2500

Uncorrected energy   -69.6 eV/cell
Energy of formation from the pure elements   24 kJ/mol of formula units

(8)
The following is a DFT calculation (GGA-PBE) of crystalline Nd6Y2Ho3Sc at its relaxed geometry.

a = 6.2387 Å, b = 6.2387 Å, c = 11.7602 Å
α = 95.06°, β = 95.06°, γ = 119.99°
Sites, in units of the cell vectors:
Nd  0.9175  0.5877  0.7514
Nd  0.7526  0.7526  0.2488
Nd  0.0825  0.4123  0.2486
Nd  0.5877  0.9175  0.7514
Nd  0.2474  0.2474  0.7512
Nd  0.4123  0.0825  0.2486
Y  0.3333  0.6667  0.0000
Y  0.6667  0.3333  0.0000
Ho  0.1666  0.8334  0.5000
Ho  0.8334  0.1666  0.5000
Ho  0.5000  0.5000  0.5000
Sc  0.0000  0.0000  0.0000

Uncorrected energy   -61.3 eV/cell
Energy of formation from the pure elements   26 kJ/mol of formula units

(9)
The following is a DFT calculation (GGA-PBE) of crystalline NdY3Ho6Sc2 at its relaxed geometry.

a = 6.0679 Å, b = 6.0679 Å, c = 11.6333 Å
α = 94.96°, β = 94.96°, γ = 119.96°
Sites, in units of the cell vectors:
Nd  0.0000  0.0000  0.0000
Y  0.1672  0.8328  0.5000
Y  0.8328  0.1672  0.5000
Y  0.5000  0.5000  0.5000
Ho  0.9174  0.5816  0.7545
Ho  0.7463  0.7463  0.2454
Ho  0.0826  0.4184  0.2455
Ho  0.5816  0.9174  0.7545
Ho  0.2537  0.2537  0.7546
Ho  0.4184  0.0826  0.2455
Sc  0.3333  0.6667  0.0000
Sc  0.6667  0.3333  0.0000

Uncorrected energy   -63.8 eV/cell
Energy of formation from the pure elements   47 kJ/mol of formula units

(10)
The following is a DFT calculation (GGA-PBE) of crystalline NdYHo2Sc at its relaxed geometry.

a = 6.3502 Å, b = 6.3537 Å, c = 8.5778 Å
α = 111.74°, β = 90.00°, γ = 90.00°
Sites, in units of the cell vectors:
Nd  0.2500  0.6613  0.3227
Nd  0.7500  0.3387  0.6773
Y  0.7500  0.7508  0.5016
Y  0.2500  0.2492  0.4984
Ho  0.5000  0.2481  0.0000
Ho  0.0000  0.7519  0.0000
Ho  0.5000  0.7519  0.0000
Ho  0.0000  0.2481  0.0000
Sc  0.2500  0.8467  0.6933
Sc  0.7500  0.1533  0.3067

Uncorrected energy   -49.9 eV/cell
Energy of formation from the pure elements   169 kJ/mol of formula units

(11)
The following is a DFT calculation (GGA-PBE) of crystalline Nd2Y4Ho2Sc at its relaxed geometry.

a = 3.5900 Å, b = 9.4529 Å, c = 9.5147 Å
α = 115.06°, β = 90.00°, γ = 100.95°
Sites, in units of the cell vectors:
Nd  0.3370  0.6740  0.0035
Nd  0.6630  0.3260  0.9965
Y  0.8151  0.6302  0.6667
Y  0.1849  0.3698  0.3333
Y  0.5193  0.0386  0.3313
Y  0.4807  0.9614  0.6687
Ho  0.8527  0.7054  0.3367
Ho  0.1473  0.2946  0.6633
Sc  0.0000  0.0000  0.0000

Uncorrected energy   -50.8 eV/cell
Energy of formation from the pure elements   11 kJ/mol of formula units

(12)
The following is a DFT calculation (GGA-PBE) of crystalline NdYHo3Sc at its relaxed geometry.

a = 3.5536 Å, b = 9.4171 Å, c = 11.7913 Å
α = 110.27°, β = 90.00°, γ = 90.00°
Sites, in units of the cell vectors:
Nd  0.2500  0.1314  0.6320
Nd  0.7500  0.8686  0.3680
Y  0.7500  0.8166  0.6560
Y  0.2500  0.1834  0.3440
Ho  0.2500  0.5665  0.4001
Ho  0.7500  0.9261  0.0938
Ho  0.7500  0.3253  0.1499
Ho  0.7500  0.4335  0.5999
Ho  0.2500  0.6747  0.8501
Ho  0.2500  0.0739  0.9062
Sc  0.2500  0.6191  0.1176
Sc  0.7500  0.3809  0.8824

Uncorrected energy   -62.3 eV/cell
Energy of formation from the pure elements   13 kJ/mol of formula units